# 1
# RbNa2Bi2 (PBE, relaxed)
# - V (Å³ per cell) = 389.15
# - energy relative to the elements (eV per atom) = -0.30
data_RbNa2Bi2
_chemical_formula_sum 'Rb2 Na4 Bi4'
_space_group_name_H-M_alt 'I 4/m m m'
_space_group_IT_number 139
_space_group_name_Hall '-I 4 2'
_cell_length_a 5.4004
_cell_length_b 5.4004
_cell_length_c 13.3431
_cell_angle_alpha 90.00
_cell_angle_beta 90.00
_cell_angle_gamma 90.00
loop_
_atom_site_label
_atom_site_fract_x
_atom_site_fract_y
_atom_site_fract_z
_atom_site_occupancy
Rb1 0.0000 0.0000 0.0000 1
Na1 0.0000 0.5000 0.2500 1
Bi1 0.0000 0.0000 0.3889 1

# 2
# HgI (PBE, relaxed)
# - V (Å³ per cell) = 672.06
# - ΔE_f (raw) (eV/atom) = -0.232
data_HgI
_chemical_formula_sum 'Hg8 I8'
_space_group_name_H-M_alt 'P 21 21 21'
_space_group_IT_number 19
_space_group_name_Hall 'P 2ac 2ab'
_cell_length_a 6.6318
_cell_length_b 8.4630
_cell_length_c 11.9745
_cell_angle_alpha 90.00
_cell_angle_beta 90.00
_cell_angle_gamma 90.00
loop_
_atom_site_label
_atom_site_fract_x
_atom_site_fract_y
_atom_site_fract_z
_atom_site_occupancy
Hg1 0.0990 0.1113 0.1413 1
Hg2 0.2379 0.4681 0.4220 1
I1 0.0709 0.7090 0.6991 1
I2 0.0768 0.0839 0.4485 1

# 3
# ZrHW (PBE, relaxed)
# - V (Å³ per cell) = 80.09
# - total DFT energy (no corrections) (eV/atom) = -8.339
data_ZrHW
_chemical_formula_sum 'Zr2 H2 W2'
_space_group_name_H-M_alt 'P -1'
_space_group_IT_number 2
_space_group_name_Hall '-P 1'
_cell_length_a 3.0284
_cell_length_b 4.5268
_cell_length_c 5.9766
_cell_angle_alpha 90.08
_cell_angle_beta 102.17
_cell_angle_gamma 90.08
loop_
_atom_site_label
_atom_site_fract_x
_atom_site_fract_y
_atom_site_fract_z
_atom_site_occupancy
Zr1 0.1407 0.2498 0.3549 1
H1 0.0081 0.2492 0.6892 1
W1 0.3875 0.7500 0.1054 1

Question: Which of these has the lowest V?
Answer: ZrHW